First-principles (PBE-GGA) data for a geometry-optimized LiCl3 structure, as listed in Alexandria.

The structure belongs to space group Imm2 (No. 44); the cell edges are 3.745, 11.032 and 5.267 Å and the angles 90.00°, 90.00° and 90.00°. Symmetry generates all atoms from Li at (0.000, 0.000, 0.000), Cl at (0.000, 0.345, 0.505) and Cl at (0.000, 0.500, 0.885).

As for the total energy: -18.9 eV for the cell shown. Its calculated volume is 218 Å³/cell. The value obtained for the polymorph energy (0 for the lowest one) is 0.373 eV/atom. The value obtained for the size of the total moment is 1.986 μB/f.u. The formation energy (no corrections) is -190.3 kJ/mol of formula units.

***

First-principles (PBE-GGA) data for a geometry-optimized Hf9ZrIn2 structure, as listed in Alexandria.

The structure belongs to space group P4/mmm (No. 123); the cell edges are 4.454, 4.454 and 13.363 Å and the angles 90.00°, 90.00° and 90.00°. Symmetry generates all atoms from Hf at (0.000, 0.000, 0.000), Hf at (0.000, 0.000, 0.338), Hf at (0.000, 0.500, 0.167), Hf at (0.000, 0.500, 0.500), Zr at (0.500, 0.500, 0.000) and In at (0.500, 0.500, 0.334).

As for the total energy: -104.5 eV for the cell shown. Its calculated volume is 265 Å³/cell. The calculation puts the density of states at the Fermi level at 0.98 states/eV per atom. For the formation energy from the elements, the calculation gives -0.899 eV/f.u. The value obtained for the size of the total moment is 0.000 μB/f.u.

***

First-principles (PBE-GGA) data for a geometry-optimized Rb2NaNp3S8 structure, as listed in Alexandria.

The structure belongs to space group R3m (No. 160, hexagonal axes); the cell edges are 8.0684, 8.0684 and 24.3757 Å and the angles 90.00°, 90.00° and 120.00°. Symmetry generates all atoms from Rb at (0.0000, 0.0000, 0.0000), Rb at (0.0000, 0.0000, 0.3535), Na at (0.0000, 0.0000, 0.8437), Np at (0.1681, 0.3362, 0.1880), S at (0.0000, 0.0000, 0.1319), S at (0.0000, 0.0000, 0.5789), S at (0.0326, 0.5163, 0.1294) and S at (0.1780, 0.3560, 0.9115).

As for the total energy: -279.1 eV for the cell shown. Its calculated volume is 1374 Å³/cell. The calculation puts the density of states at the Fermi level at 1.73 states/eV per atom. The value obtained for the size of the total moment is 8.000 μB/f.u. The formation energy (no corrections) is -1730.2 kJ/mol of formula units.

***

First-principles (PBE-GGA) data for a geometry-optimized Be2TcAu structure, as listed in Alexandria.

The structure belongs to space group Pmm2 (No. 25); the cell edges are 2.651, 3.037 and 6.045 Å and the angles 90.00°, 90.00° and 90.00°. Symmetry generates all atoms from Be at (0.000, 0.000, 0.000), Be at (0.500, 0.500, 0.175), Tc at (0.000, 0.000, 0.403) and Au at (0.500, 0.500, 0.758).

As for the total energy: -21.0 eV for the cell shown. Its calculated volume is 49 Å³/cell. The calculation puts the density of states at the Fermi level at 0.32 states/eV per atom. The value obtained for the polymorph energy (0 for the lowest one) is 0.125 eV/atom. For the formation energy from the elements, the calculation gives 0.059 eV/f.u. The value obtained for the size of the total moment is 0.000 μB/f.u.

***

First-principles (PBE-GGA) data for a geometry-optimized La4Ge2Ru structure, as listed in Alexandria.

The structure belongs to space group C2/m (No. 12); the cell edges are 11.376, 4.671 and 8.621 Å and the angles 90.00°, 121.73° and 90.00°. Symmetry generates all atoms from La at (0.078, 0.000, 0.361), La at (0.179, 0.500, 0.063), Ge at (0.135, 0.500, 0.649) and Ru at (0.000, 0.000, 0.000).

As for the total energy: -84.9 eV for the cell shown. Its calculated volume is 390 Å³/cell. The calculation puts the density of states at the Fermi level at 0.68 states/eV per atom. For the formation energy from the elements, the calculation gives -4.234 eV/f.u. The value obtained for the size of the total moment is 0.000 μB/f.u.

***

First-principles (PBE-GGA) data for a geometry-optimized Nb2CuRu2 structure, as listed in Alexandria.

The structure belongs to space group P4/mbm (No. 127); the cell edges are 7.351, 7.351 and 3.054 Å and the angles 90.00°, 90.00° and 90.00°. Symmetry generates all atoms from Nb at (0.161, 0.339, 0.000), Cu at (0.000, 0.000, 0.500) and Ru at (0.140, 0.640, 0.500).

As for the total energy: -85.3 eV for the cell shown. Its calculated volume is 165 Å³/cell. The calculation puts the density of states at the Fermi level at 0.82 states/eV per atom. The value obtained for the polymorph energy (0 for the lowest one) is 0.000 eV/atom. For the formation energy from the elements, the calculation gives 0.123 eV/f.u. The value obtained for the size of the total moment is 0.000 μB/f.u.

***

First-principles (PBE-GGA) data for a geometry-optimized ScAgOs2 structure, as listed in Alexandria.

The structure belongs to space group R-3m (No. 166, hexagonal axes); the cell edges are 2.8321, 2.8321 and 28.1822 Å and the angles 90.00°, 90.00° and 120.00°. Symmetry generates all atoms from Sc at (0.0000, 0.0000, 0.0000), Ag at (0.0000, 0.0000, 0.5000) and Os at (0.0000, 0.0000, 0.2532).

As for the total energy: -90.5 eV for the cell shown. Its calculated volume is 196 Å³/cell. The calculation puts the density of states at the Fermi level at 1.05 states/eV per atom. The value obtained for the polymorph energy (0 for the lowest one) is 0.293 eV/atom. For the formation energy from the elements, the calculation gives 1.467 eV/f.u. The value obtained for the size of the total moment is 0.000 μB/f.u.

***

First-principles (PBE-GGA) data for a geometry-optimized Tb10Er4Sc structure, as listed in Alexandria.

The structure belongs to space group I4/mmm (No. 139); the cell edges are 11.306, 11.306 and 7.557 Å and the angles 90.00°, 90.00° and 90.00°. Symmetry generates all atoms from Tb at (0.000, 0.210, 0.218), Tb at (0.000, 0.500, 0.250), Er at (0.234, 0.234, 0.500) and Sc at (0.000, 0.000, 0.500).

As for the total energy: -134.9 eV for the cell shown. Its calculated volume is 966 Å³/cell. The calculation puts the density of states at the Fermi level at 1.14 states/eV per atom. For the formation energy from the elements, the calculation gives 3.423 eV/f.u. The value obtained for the size of the total moment is 0.000 μB/f.u.

***

First-principles (PBE-GGA) data for a geometry-optimized Pm7PrHg2 structure, as listed in Alexandria.

The structure belongs to space group Cmmm (No. 65); the cell edges are 9.231, 15.635 and 5.444 Å and the angles 90.00°, 90.00° and 90.00°. Symmetry generates all atoms from Pm at (0.000, 0.000, 0.000), Pm at (0.000, 0.264, 0.500), Pm at (0.182, 0.379, 0.000), Pr at (0.000, 0.500, 0.500) and Hg at (0.000, 0.194, 0.000).

As for the total energy: -72.2 eV for the cell shown. Its calculated volume is 786 Å³/cell. The calculation puts the density of states at the Fermi level at 1.97 states/eV per atom. For the formation energy from the elements, the calculation gives 2.562 eV/f.u. The value obtained for the size of the total moment is 0.002 μB/f.u.

***

First-principles (PBE-GGA) data for a geometry-optimized Ho6BiAs2Se3 structure, as listed in Alexandria.

The structure belongs to space group C2/m (No. 12); the cell edges are 18.052, 4.139 and 8.308 Å and the angles 90.00°, 102.84° and 90.00°. Symmetry generates all atoms from Ho at (0.006, 0.000, 0.268), Ho at (0.171, 0.500, 0.577), Ho at (0.174, 0.500, 0.101), Bi at (0.000, 0.500, 0.000), As at (0.168, 0.000, 0.336), Se at (0.000, 0.500, 0.500) and Se at (0.163, 0.000, 0.833).

As for the total energy: -138.9 eV for the cell shown. Its calculated volume is 605 Å³/cell. The calculation puts the density of states at the Fermi level at 0.37 states/eV per atom. The value obtained for the size of the total moment is 0.000 μB/f.u. The formation energy (no corrections) is -1770.6 kJ/mol of formula units.